The following is a DFT calculation (PBE-GGA) of an optimized crystal structure of RbNaCl3.

Uncorrected formation energy in eV per formula unit: -4.64
DFT total energy in eV/atom: -2.49

Unit cell a=6.118 b=6.118 c=6.118 alpha=90.00 beta=90.00 gamma=90.00
Each line ends with the local moment (μB).
Sites, in units of the cell vectors:
Na 0.500 0.500 0.500  0.00
Rb 0.000 0.000 0.000  0.03
Cl 0.000 0.500 0.000  0.23
Cl 0.000 0.000 0.500  0.34
Cl 0.500 0.000 0.000  0.16

=====

The following is a DFT calculation (PBE-GGA) of an optimized crystal structure of RbNaCl2.

Uncorrected formation energy in eV per formula unit: -6.67
DFT total energy in eV/atom: -3.16

Unit cell a=9.000 b=9.000 c=9.000 alpha=31.87 beta=31.87 gamma=31.87
Sites, in units of the cell vectors:
Na 0.000 0.000 0.000
Rb 0.500 0.500 0.500
Cl 0.902 0.902 0.902
Cl 0.098 0.098 0.098

=====

The following is a DFT calculation (PBE-GGA) of an optimized crystal structure of RbNaCl2.

Uncorrected formation energy in eV per formula unit: -6.83
DFT total energy in eV/atom: -3.20

Unit cell a=5.372 b=5.372 c=5.372 alpha=60.00 beta=60.00 gamma=60.00
Sites, in units of the cell vectors:
Na 0.000 0.000 0.000
Rb 0.500 0.500 0.500
Cl 0.250 0.250 0.250
Cl 0.750 0.750 0.750

=====

The following is a DFT calculation (PBE-GGA) of an optimized crystal structure of RbNaCl2.

Uncorrected formation energy in eV per formula unit: -6.12
DFT total energy in eV/atom: -3.03

Unit cell a=9.171 b=9.171 c=9.171 alpha=28.12 beta=28.12 gamma=28.12
Sites, in units of the cell vectors:
Na 0.500 0.500 0.500
Rb 0.000 0.000 0.000
Cl 0.889 0.889 0.889
Cl 0.111 0.111 0.111

=====

The following is a DFT calculation (PBE-GGA) of an optimized crystal structure of Rb5NaCl6.

Uncorrected formation energy in eV per formula unit: -22.74
DFT total energy in eV/atom: -3.33

Unit cell a=8.003 b=8.017 c=8.026 alpha=60.04 beta=80.40 gamma=70.50
Sites, in units of the cell vectors:
Na 0.000 0.000 0.000
Rb 0.500 0.169 0.662
Rb 0.000 0.333 0.333
Rb 0.500 0.500 0.000
Rb 0.000 0.667 0.667
Rb 0.500 0.831 0.338
Cl 0.762 0.080 0.312
Cl 0.238 0.608 0.312
Cl 0.233 0.229 0.000
Cl 0.767 0.771 0.000
Cl 0.762 0.392 0.688
Cl 0.238 0.920 0.688

=====

The following is a DFT calculation (PBE-GGA) of an optimized crystal structure of Rb4NaCl4.

Uncorrected formation energy in eV per formula unit: -14.25
DFT total energy in eV/atom: -2.98

Unit cell a=8.198 b=9.374 c=9.374 alpha=90.00 beta=90.00 gamma=90.00
Sites, in units of the cell vectors:
Rb 0.346 0.275 0.000
Rb 0.846 0.500 0.775
Rb 0.346 0.725 0.000
Rb 0.154 0.225 0.500
Rb 0.654 0.000 0.725
Rb 0.154 0.775 0.500
Rb 0.846 0.500 0.225
Rb 0.654 0.000 0.275
Na 0.000 0.000 0.000
Na 0.500 0.500 0.500
Cl 0.734 0.719 0.500
Cl 0.734 0.281 0.500
Cl 0.234 0.000 0.781
Cl 0.766 0.219 0.000
Cl 0.766 0.781 0.000
Cl 0.266 0.500 0.281
Cl 0.266 0.500 0.719
Cl 0.234 0.000 0.219